# DyTlIr (PBE-GGA, optimized geometry)
data_DyTlIr
_chemical_formula_sum 'Dy1 Tl1 Ir1'
_cell_length_a 4.7183
_cell_length_b 4.7183
_cell_length_c 4.7183
_cell_angle_alpha 60.00
_cell_angle_beta 60.00
_cell_angle_gamma 60.00
_space_group_name_H-M_alt 'P 1'
_space_group_IT_number 1
loop_
_space_group_symop_operation_xyz
'x,y,z'
loop_
_atom_site_label
_atom_site_type_symbol
_atom_site_fract_x
_atom_site_fract_y
_atom_site_fract_z
_atom_site_occupancy
Tl1 Tl 0.0000 0.0000 0.0000 1
Ir1 Ir 0.2500 0.2500 0.2500 1
Dy1 Dy 0.5000 0.5000 0.5000 1
# * E_form: -375 meV per atom
# * Fermi-level density of states: 1.37 states/eV/cell

# Dy3TlIr (PBE-GGA, optimized geometry)
data_Dy3TlIr
_chemical_formula_sum 'Dy12 Tl4 Ir4'
_cell_length_a 4.8086
_cell_length_b 7.2891
_cell_length_c 15.0987
_cell_angle_alpha 90.00
_cell_angle_beta 90.00
_cell_angle_gamma 90.00
_space_group_name_H-M_alt 'P 1'
_space_group_IT_number 1
loop_
_space_group_symop_operation_xyz
'x,y,z'
loop_
_atom_site_label
_atom_site_type_symbol
_atom_site_fract_x
_atom_site_fract_y
_atom_site_fract_z
_atom_site_occupancy
Dy1 Dy 0.2500 0.3667 0.5432 1
Dy2 Dy 0.7500 0.8050 0.2229 1
Dy3 Dy 0.7500 0.4872 0.9021 1
Dy4 Dy 0.7500 0.9872 0.5979 1
Dy5 Dy 0.7500 0.6333 0.4568 1
Dy6 Dy 0.2500 0.0128 0.4021 1
Dy7 Dy 0.2500 0.8667 0.9568 1
Dy8 Dy 0.7500 0.3050 0.2771 1
Dy9 Dy 0.2500 0.6950 0.7229 1
Dy10 Dy 0.2500 0.1950 0.7771 1
Dy11 Dy 0.7500 0.1333 0.0432 1
Dy12 Dy 0.2500 0.5128 0.0979 1
Tl1 Tl 0.7500 0.9191 0.8212 1
Tl2 Tl 0.2500 0.0809 0.1788 1
Tl3 Tl 0.7500 0.4191 0.6788 1
Tl4 Tl 0.2500 0.5809 0.3212 1
Ir1 Ir 0.2500 0.2696 0.9550 1
Ir2 Ir 0.2500 0.7696 0.5450 1
Ir3 Ir 0.7500 0.2304 0.4550 1
Ir4 Ir 0.7500 0.7304 0.0450 1
# * E_form: -574 meV per atom
# * Fermi-level density of states: 11.05 states/eV/cell
# * ΔE to the lowest computed polymorph: 0 meV/atom

# Dy2TlIr (PBE-GGA, optimized geometry)
data_Dy2TlIr
_chemical_formula_sum 'Dy2 Tl1 Ir1'
_cell_length_a 5.0969
_cell_length_b 5.0969
_cell_length_c 5.0969
_cell_angle_alpha 60.00
_cell_angle_beta 60.00
_cell_angle_gamma 60.00
_space_group_name_H-M_alt 'P 1'
_space_group_IT_number 1
loop_
_space_group_symop_operation_xyz
'x,y,z'
loop_
_atom_site_label
_atom_site_type_symbol
_atom_site_fract_x
_atom_site_fract_y
_atom_site_fract_z
_atom_site_occupancy
Tl1 Tl 0.0000 0.0000 0.0000 1
Ir1 Ir 0.5000 0.5000 0.5000 1
Dy1 Dy 0.2500 0.2500 0.2500 1
Dy2 Dy 0.7500 0.7500 0.7500 1
# * E_form: -487 meV per atom
# * Fermi-level density of states: 1.96 states/eV/cell
# * ΔE to the lowest computed polymorph: 124 meV/atom

# Dy6Tl2Ir (PBE-GGA, optimized geometry)
data_Dy6Tl2Ir
_chemical_formula_sum 'Dy6 Tl2 Ir1'
_cell_length_a 5.0810
_cell_length_b 7.2537
_cell_length_c 8.6793
_cell_angle_alpha 114.70
_cell_angle_beta 107.02
_cell_angle_gamma 90.00
_space_group_name_H-M_alt 'P 1'
_space_group_IT_number 1
loop_
_space_group_symop_operation_xyz
'x,y,z'
loop_
_atom_site_label
_atom_site_type_symbol
_atom_site_fract_x
_atom_site_fract_y
_atom_site_fract_z
_atom_site_occupancy
Dy1 Dy 0.1543 0.3926 0.3088 1
Dy2 Dy 0.8457 0.0838 0.6912 1
Dy3 Dy 0.8457 0.6074 0.6912 1
Dy4 Dy 0.5000 0.2240 0.0000 1
Dy5 Dy 0.1543 0.9162 0.3088 1
Dy6 Dy 0.5000 0.7760 0.0000 1
Tl1 Tl 0.6670 0.6671 0.3343 1
Tl2 Tl 0.3330 0.3329 0.6657 1
Ir1 Ir 0.0000 0.0000 0.0000 1
# * E_form: -270 meV per atom
# * Fermi-level density of states: 7.85 states/eV/cell
# * ΔE to the lowest computed polymorph: 154 meV/atom